No. 1
Material: InINO2
Method: DFT, PBE
State: optimized geometry

Calculated values
Formation energy from raw total energies   1.036 eV per atom
M_tot   0.00 μB per atom
DFT total energy   -0.255 Ry per atom
V   14.5 Å³/atom

Structure (CIF):
```
data_InINO2
_cell_length_a 4.1686
_cell_length_b 4.1686
_cell_length_c 4.1605
_cell_angle_alpha 90.00
_cell_angle_beta 90.00
_cell_angle_gamma 90.00
_symmetry_space_group_name_H-M 'P 1'
_symmetry_Int_Tables_number 1
loop_
_symmetry_equiv_pos_as_xyz
'x,y,z'
loop_
_atom_site_label
_atom_site_fract_x
_atom_site_fract_y
_atom_site_fract_z
_atom_site_occupancy
N1 0.0000 0.0000 0.0000 1
O1 0.0000 0.5000 0.0000 1
O2 0.5000 0.0000 0.0000 1
I1 0.0000 0.0000 0.5000 1
In1 0.5000 0.5000 0.5000 1
```

No. 2
Material: BaSn3Ir2
Method: DFT, PBE
State: optimized geometry

Calculated values
M_tot   0.00 μB per atom
Calculated formation energy   -0.117 eV/atom
DFT total energy   -0.396 Ry per atom
V   29.3 Å³/atom

Structure (CIF):
```
data_BaSn3Ir2
_cell_length_a 8.0959
_cell_length_b 8.0959
_cell_length_c 7.7565
_cell_angle_alpha 58.54
_cell_angle_beta 58.54
_cell_angle_gamma 60.00
_symmetry_space_group_name_H-M 'P 1'
_symmetry_Int_Tables_number 1
loop_
_symmetry_equiv_pos_as_xyz
'x,y,z'
loop_
_atom_site_label
_atom_site_fract_x
_atom_site_fract_y
_atom_site_fract_z
_atom_site_occupancy
Sn1 0.2429 0.7252 0.7890 1
Ir1 0.0000 0.0000 0.0000 1
Sn2 0.2748 0.7571 0.2110 1
Ba1 0.7776 0.7776 0.6671 1
Ir2 0.0000 0.5000 0.0000 1
Sn3 0.2429 0.2429 0.7890 1
Ir3 0.5000 0.0000 0.0000 1
Sn4 0.7252 0.2429 0.7890 1
Ba2 0.2224 0.2224 0.3329 1
Ir4 0.5000 0.5000 0.0000 1
Sn5 0.7571 0.7571 0.2110 1
Sn6 0.7571 0.2748 0.2110 1
```

No. 3
Material: ReNi3Ir
Method: DFT, PBE
State: optimized geometry

Calculated values
M_tot   0.00 μB per atom
Calculated formation energy   0.316 eV/atom
Energy relative to the lowest polymorph listed for this composition   0 meV per atom
DFT total energy   -0.545 Ry per atom
V   13.4 Å³/atom

Structure (CIF):
```
data_ReNi3Ir
_cell_length_a 2.5772
_cell_length_b 4.8265
_cell_length_c 10.7514
_cell_angle_alpha 90.00
_cell_angle_beta 90.00
_cell_angle_gamma 90.00
_symmetry_space_group_name_H-M 'P 1'
_symmetry_Int_Tables_number 1
loop_
_symmetry_equiv_pos_as_xyz
'x,y,z'
loop_
_atom_site_label
_atom_site_fract_x
_atom_site_fract_y
_atom_site_fract_z
_atom_site_occupancy
Ni1 0.5000 0.0072 0.6074 1
Re1 0.0000 0.7500 0.1996 1
Ni2 0.5000 0.4928 0.6074 1
Ni3 0.5000 0.9928 0.3926 1
Ni4 0.5000 0.5000 0.0000 1
Ni5 0.5000 0.5072 0.3926 1
Re2 0.0000 0.2500 0.8004 1
Ir1 0.5000 0.7500 0.8020 1
Ni6 0.5000 0.0000 0.0000 1
Ir2 0.5000 0.2500 0.1980 1
```

No. 4
Material: Na2LaInF8
Method: DFT, PBE
State: optimized geometry

Calculated values
Formation energy from raw total energies   -3.145 eV per atom
M_tot   0.00 μB per atom
DFT total energy   -0.386 Ry per atom
V   14.1 Å³/atom

Structure (CIF):
```
data_Na2LaInF8
_cell_length_a 3.8987
_cell_length_b 5.5890
_cell_length_c 7.7475
_cell_angle_alpha 90.00
_cell_angle_beta 90.00
_cell_angle_gamma 90.16
_symmetry_space_group_name_H-M 'P 1'
_symmetry_Int_Tables_number 1
loop_
_symmetry_equiv_pos_as_xyz
'x,y,z'
loop_
_atom_site_label
_atom_site_fract_x
_atom_site_fract_y
_atom_site_fract_z
_atom_site_occupancy
F1 0.0012 0.7683 0.2315 1
F2 0.5016 0.7797 0.0000 1
Na1 0.5000 0.5000 0.2305 1
In1 0.0000 0.0000 0.0000 1
F3 0.9988 0.2317 0.2315 1
La1 0.0000 0.0000 0.5000 1
Na2 0.5000 0.5000 0.7695 1
F4 0.4984 0.2203 0.0000 1
F5 0.0012 0.7683 0.7685 1
F6 0.9988 0.2317 0.7685 1
F7 0.5006 0.2482 0.5000 1
F8 0.4994 0.7518 0.5000 1
```

No. 5
Material: Y8GaS6
Method: DFT, PBE
State: optimized geometry

Calculated values
Formation energy from raw total energies   -1.523 eV per atom
M_tot   0.00 μB per atom
DFT total energy   -0.501 Ry per atom
V   23.6 Å³/atom

Structure (CIF):
```
data_Y8GaS6
_cell_length_a 3.9243
_cell_length_b 10.2061
_cell_length_c 10.2061
_cell_angle_alpha 120.00
_cell_angle_beta 90.00
_cell_angle_gamma 90.00
_symmetry_space_group_name_H-M 'P 1'
_symmetry_Int_Tables_number 1
loop_
_symmetry_equiv_pos_as_xyz
'x,y,z'
loop_
_atom_site_label
_atom_site_fract_x
_atom_site_fract_y
_atom_site_fract_z
_atom_site_occupancy
Y1 0.2518 0.6667 0.3333 1
Y2 0.7476 0.7044 0.6705 1
Y3 0.2524 0.0339 0.7044 1
S1 0.7503 0.4829 0.3475 1
S2 0.2497 0.3475 0.8646 1
Ga1 0.5000 0.0000 0.0000 1
Y4 0.2524 0.6705 0.9661 1
Y5 0.2524 0.2956 0.3295 1
Y6 0.7476 0.9661 0.2956 1
Y7 0.7476 0.3295 0.0339 1
S3 0.7503 0.6525 0.1354 1
S4 0.2497 0.1354 0.4829 1
S5 0.2497 0.5171 0.6525 1
Y8 0.7482 0.3333 0.6667 1
S6 0.7503 0.8646 0.5171 1
```

No. 6
Material: AcSb3Se6
Method: DFT, PBE
State: optimized geometry

Calculated values
Formation energy from raw total energies   -0.707 eV per atom
M_tot   0.00 μB per atom
DFT total energy   -0.327 Ry per atom
V   30.8 Å³/atom

Structure (CIF):
```
data_AcSb3Se6
_cell_length_a 4.1595
_cell_length_b 12.5398
_cell_length_c 12.4221
_cell_angle_alpha 107.85
_cell_angle_beta 90.00
_cell_angle_gamma 90.00
_symmetry_space_group_name_H-M 'P 1'
_symmetry_Int_Tables_number 1
loop_
_symmetry_equiv_pos_as_xyz
'x,y,z'
loop_
_atom_site_label
_atom_site_fract_x
_atom_site_fract_y
_atom_site_fract_z
_atom_site_occupancy
Ac1 0.7500 0.0367 0.6925 1
Se1 0.7500 0.4086 0.0882 1
Sb1 0.7500 0.6999 0.4521 1
Se2 0.7500 0.9358 0.1037 1
Se3 0.2500 0.5914 0.9118 1
Se4 0.2500 0.5418 0.3717 1
Sb2 0.2500 0.5576 0.1569 1
Se5 0.2500 0.8833 0.5276 1
Sb3 0.7500 0.1493 0.1057 1
Se6 0.2500 0.2448 0.7376 1
Sb4 0.7500 0.4424 0.8431 1
Se7 0.7500 0.7961 0.7442 1
Ac2 0.2500 0.9633 0.3075 1
Se8 0.7500 0.1167 0.4724 1
Se9 0.7500 0.4582 0.6283 1
Se10 0.2500 0.2039 0.2558 1
Se11 0.2500 0.0642 0.8963 1
Sb5 0.2500 0.3001 0.5479 1
Sb6 0.2500 0.8507 0.8943 1
Se12 0.7500 0.7552 0.2624 1
```

No. 7
Material: SO3F
Method: DFT, PBE
State: optimized geometry

Calculated values
Formation energy from raw total energies   -1.063 eV per atom
M_tot   0.20 μB per atom
DFT total energy   -0.385 Ry per atom
V   18.1 Å³/atom

Structure (CIF):
```
data_SO3F
_cell_length_a 6.0444
_cell_length_b 7.6385
_cell_length_c 10.2164
_cell_angle_alpha 50.10
_cell_angle_beta 90.00
_cell_angle_gamma 90.00
_symmetry_space_group_name_H-M 'P 1'
_symmetry_Int_Tables_number 1
loop_
_symmetry_equiv_pos_as_xyz
'x,y,z'
loop_
_atom_site_label
_atom_site_fract_x
_atom_site_fract_y
_atom_site_fract_z
_atom_site_occupancy
O1 0.4285 0.2552 0.4056 1
F1 0.9692 0.7550 0.5696 1
O2 0.2561 0.4825 0.9626 1
O3 0.2439 0.4825 0.4626 1
O4 0.7562 0.9309 0.8183 1
F2 0.0308 0.2450 0.4304 1
O5 0.0715 0.2552 0.9056 1
F3 0.4692 0.2450 0.9304 1
S1 0.7555 0.7361 0.9998 1
O6 0.7561 0.5175 0.5374 1
O7 0.2562 0.0691 0.6817 1
S2 0.2445 0.2639 0.0002 1
O8 0.7439 0.5175 0.0374 1
O9 0.9285 0.7448 0.0944 1
S3 0.2555 0.2639 0.5002 1
S4 0.7445 0.7361 0.4998 1
O10 0.2438 0.0691 0.1817 1
O11 0.7438 0.9309 0.3183 1
F4 0.5308 0.7550 0.0696 1
O12 0.5715 0.7448 0.5944 1
```

No. 8
Material: ScHgI3
Method: DFT, PBE
State: optimized geometry

Calculated values
Formation energy from raw total energies   -0.712 eV per atom
M_tot   0.00 μB per atom
Energy relative to the lowest polymorph listed for this composition   260 meV per atom
DFT total energy   -0.218 Ry per atom
V   52.0 Å³/atom

Structure (CIF):
```
data_ScHgI3
_cell_length_a 5.2092
_cell_length_b 5.2092
_cell_length_c 22.1434
_cell_angle_alpha 90.00
_cell_angle_beta 90.00
_cell_angle_gamma 120.00
_symmetry_space_group_name_H-M 'P 1'
_symmetry_Int_Tables_number 1
loop_
_symmetry_equiv_pos_as_xyz
'x,y,z'
loop_
_atom_site_label
_atom_site_fract_x
_atom_site_fract_y
_atom_site_fract_z
_atom_site_occupancy
Hg1 0.0000 0.0000 0.5000 1
Hg2 0.0000 0.0000 0.0000 1
I1 0.6667 0.3333 0.3715 1
I2 0.0000 0.0000 0.7500 1
I3 0.0000 0.0000 0.2500 1
I4 0.3333 0.6667 0.8715 1
I5 0.3333 0.6667 0.6285 1
Sc1 0.6667 0.3333 0.2500 1
Sc2 0.3333 0.6667 0.7500 1
I6 0.6667 0.3333 0.1285 1
```

No. 9
Material: Ca2MgSi4Pt3
Method: DFT, PBE
State: optimized geometry

Calculated values
Formation energy from raw total energies   -0.817 eV per atom
M_tot   0.00 μB per atom
DFT total energy   -0.394 Ry per atom
V   18.2 Å³/atom

Structure (CIF):
```
data_Ca2MgSi4Pt3
_cell_length_a 4.1836
_cell_length_b 4.1836
_cell_length_c 10.4080
_cell_angle_alpha 90.00
_cell_angle_beta 90.00
_cell_angle_gamma 90.00
_symmetry_space_group_name_H-M 'P 1'
_symmetry_Int_Tables_number 1
loop_
_symmetry_equiv_pos_as_xyz
'x,y,z'
loop_
_atom_site_label
_atom_site_fract_x
_atom_site_fract_y
_atom_site_fract_z
_atom_site_occupancy
Si1 0.5000 0.5000 0.0000 1
Si2 0.5000 0.0000 0.6473 1
Pt1 0.0000 0.5000 0.1208 1
Si3 0.0000 0.0000 0.0000 1
Pt2 0.5000 0.0000 0.8792 1
Si4 0.0000 0.5000 0.3527 1
Ca1 0.5000 0.0000 0.2449 1
Pt3 0.0000 0.0000 0.5000 1
Ca2 0.0000 0.5000 0.7551 1
Mg1 0.5000 0.5000 0.5000 1
```

No. 10
Material: Tb6Ho2TmMg
Method: DFT, PBE
State: optimized geometry

Calculated values
M_tot   0.00 μB per atom
Calculated formation energy   0.122 eV/atom
DFT total energy   -0.307 Ry per atom
V   31.2 Å³/atom

Structure (CIF):
```
data_Tb6Ho2TmMg
_cell_length_a 9.5428
_cell_length_b 8.5974
_cell_length_c 8.5974
_cell_angle_alpha 116.47
_cell_angle_beta 94.67
_cell_angle_gamma 94.67
_symmetry_space_group_name_H-M 'P 1'
_symmetry_Int_Tables_number 1
loop_
_symmetry_equiv_pos_as_xyz
'x,y,z'
loop_
_atom_site_label
_atom_site_fract_x
_atom_site_fract_y
_atom_site_fract_z
_atom_site_occupancy
Tb1 0.0519 0.1219 0.7548 1
Tb2 0.5519 0.7548 0.1219 1
Tb3 0.9481 0.8781 0.2452 1
Tb4 0.4481 0.2452 0.8781 1
Tb5 0.8116 0.4318 0.9914 1
Mg1 0.7500 0.5946 0.4054 1
Tb6 0.6884 0.0086 0.5682 1
Ho1 0.0503 0.2976 0.1991 1
Tb7 0.3848 0.5005 0.2970 1
Tb8 0.1152 0.7030 0.4995 1
Tm1 0.7500 0.0187 0.9813 1
Tb9 0.1884 0.5682 0.0086 1
Ho2 0.5503 0.1991 0.2976 1
Tb10 0.3116 0.9914 0.4318 1
Tb11 0.8848 0.2970 0.5005 1
Ho3 0.9497 0.7024 0.8009 1
Ho4 0.4497 0.8009 0.7024 1
Tb12 0.6152 0.4995 0.7030 1
Mg2 0.2500 0.4054 0.5946 1
Tm2 0.2500 0.9813 0.0187 1
```